(1)
Entry from the Alexandria database: a geometry-optimized TbPu2CuS5 structure (GGA-PBE).

```
18
Lattice="-1.0955 -1.6723 3.2736 7.3341 -3.8378 -1.7534 5.7321 8.1707 6.0923" Properties=species:S:1:pos:R:3 pbc="T T T"
S 11.0131 1.4930 4.4483
S 0.9474 1.1529 3.1533
S 4.8152 -3.0977 0.0290
S 6.8720 4.4405 6.8154
S 6.3266 -0.0297 2.1020
S 0.2968 0.0091 0.1040
S 3.2263 -1.1107 2.7596
S 4.4963 1.9677 4.7572
S 8.0776 2.8207 4.1442
S 9.0098 -1.1460 4.6770
Pu 5.5286 4.5747 4.1871
Pu 5.7738 -2.8669 2.7150
Pu 3.4630 1.8231 2.0902
Pu 9.6226 2.4266 6.7072
Tb 6.7883 0.4980 4.7734
Tb 2.6262 -1.4812 0.1222
Cu 5.4508 6.2333 7.2557
Cu 8.5178 -0.7249 2.4802
```

Computed properties:
Formation energy without anion corrections   -1.523 eV per atom

(2)
Entry from the Alexandria database: a geometry-optimized PuCu2TeS2 structure (GGA-PBE).

```
12
Lattice="6.9132 0.0000 0.0000 0.0000 4.4225 -0.0888 0.0000 -2.0428 8.5503" Properties=species:S:1:pos:R:3 pbc="T T T"
Cu 1.7283 1.1582 2.6776
Cu 5.1849 1.1660 2.9864
Cu 5.1849 1.2215 5.7838
Cu 1.7283 1.2137 5.4750
Pu 5.1849 3.3313 0.6465
Pu 1.7283 -0.9517 7.8150
S 3.3681 1.2472 7.1217
S 3.5451 1.1324 1.3398
S 6.8246 1.1324 1.3398
S 0.0885 1.2472 7.1217
Te 1.7283 3.3992 4.1364
Te 5.1849 -1.0195 4.3251
```

Computed properties:
Formation energy without anion corrections   -0.716 eV per atom

(3)
Entry from the Alexandria database: a geometry-optimized PuCuTeS structure (GGA-PBE).

```
8
Lattice="4.4225 0.0000 0.0000 0.0000 4.4225 0.0000 0.0000 0.0000 9.1245" Properties=species:S:1:pos:R:3 pbc="T T T"
Cu 2.2113 2.2113 0.0000
Cu 0.0000 0.0000 0.0000
Te 2.2113 0.0000 1.5328
Te 0.0000 2.2113 7.5918
S 0.0000 0.0000 4.5623
S 2.2113 2.2113 4.5623
Pu 0.0000 2.2113 2.9992
Pu 2.2113 0.0000 6.1253
```

Computed properties:
Formation energy without anion corrections   -0.841 eV per atom

(4)
Entry from the Alexandria database: a geometry-optimized PuTl2CuS4 structure (GGA-PBE).

```
8
Lattice="4.0344 0.0000 0.0000 0.0000 7.8207 -0.6637 0.0000 2.2748 5.7979" Properties=species:S:1:pos:R:3 pbc="T T T"
Tl 2.0172 1.1374 2.8990
Tl 0.0000 2.2748 5.7979
Pu 0.0000 5.0477 2.5672
S 2.0173 5.9079 0.9778
S 0.0001 7.2064 3.9456
S 2.0172 4.1875 4.1565
S 4.0344 2.8890 1.1887
Cu 2.0172 3.9103 -0.3318
```

Computed properties:
Formation energy without anion corrections   -0.638 eV per atom

(5)
Entry from the Alexandria database: a geometry-optimized Pu3Tl3CuS8 structure (GGA-PBE).

```
15
Lattice="-2.7073 -3.1452 -6.8546 1.9236 -4.5713 6.0213 -7.4167 4.4289 0.8971" Properties=species:S:1:pos:R:3 pbc="T T T"
Tl -0.3919 -3.8583 -0.4166
Tl 0.0000 0.0000 0.0000
Tl 0.9618 -2.2857 3.0107
S -6.2607 -1.3455 -1.5934
S -3.9638 -2.0511 4.7424
S -4.2366 -1.2366 -4.6786
S -2.9442 0.2649 -1.4064
S -4.7405 0.4364 1.6721
S -1.9397 -1.9422 1.6573
S -3.4599 -3.7241 -1.6082
S -5.2562 -3.5525 1.4703
Pu -4.1002 -1.6438 0.0319
Pu -5.0620 0.6418 -2.9787
Pu -2.7465 -0.0712 3.4592
Cu -3.7083 2.2144 0.4486
```

Computed properties:
Formation energy without anion corrections   -0.947 eV per atom

(6)
Entry from the Alexandria database: a geometry-optimized PuTlCu2S4 structure (GGA-PBE).

```
8
Lattice="6.6258 0.0000 0.0000 3.3129 4.9724 0.0877 3.3129 0.4949 4.9485" Properties=species:S:1:pos:R:3 pbc="T T T"
Cu 9.9387 3.7880 3.4893
Cu 3.3129 1.6793 1.5469
S 4.7666 4.9661 2.2443
S 4.7666 0.5012 2.7919
S 8.4850 2.6438 4.7655
S 8.4850 2.8236 0.2707
Tl 0.0000 0.0000 0.0000
Pu 6.6258 2.7337 2.5181
```

Computed properties:
Formation energy without anion corrections   -0.506 eV per atom

(7)
Entry from the Alexandria database: a geometry-optimized Pu3Tl4CuS8 structure (GGA-PBE).

```
16
Lattice="7.9290 0.0000 0.0000 0.0000 8.7461 0.5444 -3.9645 -3.9743 5.6383" Properties=species:S:1:pos:R:3 pbc="T T T"
Tl 1.9822 -1.9872 2.8191
Tl -1.9822 -1.9872 2.8191
Tl 0.0000 0.0000 0.0000
Tl 3.9645 0.0000 0.0000
Pu -1.9822 2.3859 3.0913
Pu 3.9645 4.3731 0.2722
Pu 1.9822 2.3859 3.0913
S 3.9645 0.5510 3.2054
S 5.9843 2.5693 0.3859
S -2.0198 2.2025 5.7967
S 1.9447 2.5693 0.3859
S 0.0000 0.5190 3.1848
S 0.0000 4.2208 2.9773
S 3.9645 4.2528 2.9978
S 2.0198 2.2025 5.7967
Cu 0.0000 4.3731 0.2722
```

Computed properties:
Formation energy without anion corrections   -0.936 eV per atom

(8)
Entry from the Alexandria database: a geometry-optimized PuTl2Cu2S4 structure (GGA-PBE).

```
9
Lattice="3.9439 0.0000 0.0000 0.0000 7.6984 0.4177 -1.9720 -2.6827 6.6336" Properties=species:S:1:pos:R:3 pbc="T T T"
S 1.9720 4.7888 4.3564
S 0.0000 -0.8293 6.4162
S 0.0000 0.2269 2.6949
S 1.9720 5.8451 0.6351
Cu 0.0000 -1.6020 4.2311
Cu 1.9720 6.6178 2.8202
Tl 0.0000 3.6650 2.0745
Tl 1.9720 1.3507 4.9768
Pu 0.0000 0.0000 0.0000
```

Computed properties:
Formation energy without anion corrections   -0.731 eV per atom

(9)
Entry from the Alexandria database: a geometry-optimized Tm3Pu3CuS8 structure (GGA-PBE).

```
15
Lattice="7.7467 -0.0003 -0.0002 -3.8736 6.7080 -0.0229 0.0000 -4.4498 6.3422" Properties=species:S:1:pos:R:3 pbc="T T T"
Pu -1.9368 3.3540 -0.0115
Pu 1.9365 3.3539 -0.0115
Pu 0.0000 0.0000 0.0000
S -0.0001 -0.0124 4.6688
S 3.8732 2.2704 1.6503
S 1.9586 3.3830 4.6595
S 1.9146 -1.1251 1.6597
S 5.8339 -1.1262 1.6611
S 3.8733 0.0163 4.6972
S -0.0002 2.2416 1.6219
S -1.9608 3.3841 4.6580
Cu 0.0000 -2.2249 3.1711
Tm 3.8734 -2.2250 3.1710
Tm -1.9368 1.1291 3.1596
Tm 1.9366 1.1290 3.1596
```

Computed properties:
Formation energy without anion corrections   -1.649 eV per atom

(10)
Entry from the Alexandria database: a geometry-optimized Tm2PuCuS5 structure (GGA-PBE).

```
18
Lattice="3.7637 0.0000 0.0000 -1.8819 8.9577 0.0000 0.0000 0.0000 10.9419" Properties=species:S:1:pos:R:3 pbc="T T T"
S 0.0000 6.4776 0.0535
S 1.8819 3.5529 2.0886
S 0.0000 8.8750 8.5394
S 1.8819 2.4801 5.5245
S 0.0000 0.8864 0.7074
S 1.8819 0.0827 3.0684
S 0.0000 5.4049 7.5596
S 1.8819 8.0713 6.1783
S 1.8819 3.0513 9.1002
S 0.0000 5.9064 3.6292
Tm 1.8819 6.9546 8.8348
Tm 0.0000 1.6149 7.4746
Tm 1.8819 7.3428 2.0036
Tm 0.0000 2.0031 3.3638
Cu 0.0000 7.8171 4.9559
Cu 1.8819 1.1406 10.4269
Pu 1.8819 5.3774 5.5582
Pu 0.0000 3.5803 0.0872
```

Computed properties:
Formation energy without anion corrections   -1.541 eV per atom

(11)
Entry from the Alexandria database: a geometry-optimized Pu2UCuS5 structure (GGA-PBE).

```
18
Lattice="-0.8310 3.5841 -1.0524 -7.4556 -3.3330 1.4930 0.7105 3.5019 11.3657" Properties=species:S:1:pos:R:3 pbc="T T T"
S -4.2673 1.4686 8.3713
S -0.3441 -0.0031 0.2611
S -2.7948 4.2258 9.6415
S -5.5037 -1.0161 0.8852
S -7.5600 2.1390 6.2968
S -0.3382 2.6543 2.3497
S -7.2350 1.1121 9.5005
S -4.6217 0.3134 4.7166
S -2.4016 3.1460 5.6535
S -3.4009 1.8302 1.9612
Pu -1.3104 2.0766 8.1073
Pu -5.8419 3.5735 9.8257
Pu -1.5982 0.8495 4.1552
Pu -6.3454 1.2829 2.4220
U -2.9219 -0.4867 0.6495
U -4.9733 2.6664 6.0507
Cu -6.7540 0.0982 5.6673
Cu -0.5770 4.8623 10.0579
```

Computed properties:
Formation energy without anion corrections   -1.344 eV per atom

(12)
Entry from the Alexandria database: a geometry-optimized YPuCuS4 structure (GGA-PBE).

```
14
Lattice="6.6985 0.0000 0.1507 0.0000 5.5104 0.0000 -2.4195 0.0000 7.4425" Properties=species:S:1:pos:R:3 pbc="T T T"
S -1.7244 2.8300 5.6548
S 1.6575 1.3776 6.7256
S 2.8818 1.3776 2.9966
S 6.0034 2.6804 1.9384
S 6.0034 0.0748 1.9384
S 2.6215 4.1328 0.8675
S 1.3972 4.1328 4.5965
S -1.7244 5.4356 5.6548
Y 2.6188 4.1328 7.0554
Y 1.6602 1.3776 0.5377
Pu 0.3632 1.3776 4.2315
Pu 3.9158 4.1328 3.3616
Cu 3.3546 1.3776 5.2032
Cu 0.9244 4.1328 2.3899
```

Computed properties:
Formation energy without anion corrections   -1.325 eV per atom

(13)
Entry from the Alexandria database: a geometry-optimized PuZrCuS4 structure (GGA-PBE).

```
14
Lattice="-4.2921 1.3307 5.9215 3.0874 -0.0763 6.9210 0.7282 6.5633 3.7188" Properties=species:S:1:pos:R:3 pbc="T T T"
S -0.1914 2.0057 4.0764
S -2.2493 2.7272 7.0885
S 0.1541 5.1976 5.9869
S -0.2851 5.8121 12.4848
S 1.4747 1.9674 7.6699
S -1.9512 5.8503 8.8913
S -0.6306 2.6201 10.5744
S 1.7727 5.0906 9.4728
Zr 0.3641 3.2817 1.8594
Zr -1.7820 3.9470 4.8201
Cu 0.1903 6.2165 8.0730
Cu -0.6668 1.6013 8.4883
Pu 0.0000 0.0000 0.0000
Pu 1.9078 3.2435 5.3199
```

Computed properties:
Formation energy without anion corrections   -1.271 eV per atom

(14)
Entry from the Alexandria database: a geometry-optimized Pu2ZrCuS5 structure (GGA-PBE).

```
18
Lattice="-1.1522 2.5756 -2.5158 -3.9330 -7.0143 -2.5396 -8.9337 2.5739 6.7264" Properties=species:S:1:pos:R:3 pbc="T T T"
Cu -9.6375 2.9899 4.6345
Cu -7.9373 -3.8302 -0.2862
S -8.5702 -1.5737 2.3138
S -6.3772 0.9401 1.0428
S -9.9295 1.2827 3.0205
S -9.6528 -2.4557 -0.9335
S -11.4256 -3.6954 1.4494
S -3.2516 -4.0696 -2.6772
S -3.9990 -0.7087 -1.7343
S -0.9569 -0.3913 0.0377
S -3.0750 1.9694 0.5843
S -5.9300 -2.6172 0.0364
Zr -1.8875 -2.2224 -1.4108
Zr -7.8888 -0.8647 -0.1126
Pu -5.7790 -2.6996 -2.9574
Pu -11.2030 -0.9078 1.3611
Pu -3.9207 -0.6386 1.1417
Pu -7.1363 0.5169 3.7974
```

Computed properties:
Formation energy without anion corrections   -1.405 eV per atom

(15)
Entry from the Alexandria database: a geometry-optimized PuCuSb structure (GGA-PBE).

```
6
Lattice="-1.6898 1.7136 -3.7358 2.3744 -3.0116 -2.4554 -4.0216 -5.0130 2.2597" Properties=species:S:1:pos:R:3 pbc="T T T"
Cu -2.7037 -1.9907 -2.2842
Cu -0.6333 -4.3204 -1.6473
Pu 0.0450 -2.1816 -3.6146
Pu -3.3820 -4.1295 -0.3168
Sb -2.7330 -4.5225 -3.4298
Sb -0.6040 -1.7885 -0.5017
```

Computed properties:
Formation energy without anion corrections   -0.346 eV per atom

(16)
Entry from the Alexandria database: a geometry-optimized PuCuSb2 structure (GGA-PBE).

```
4
Lattice="4.2123 0.0000 0.0000 0.0000 4.6252 0.0000 0.0000 0.0000 4.6252" Properties=species:S:1:pos:R:3 pbc="T T T"
Sb 0.0000 0.0000 2.3126
Sb 0.0000 2.3126 0.0000
Cu 2.1062 0.0000 0.0000
Pu 2.1062 2.3126 2.3126
```

Computed properties:
Formation energy without anion corrections   -0.277 eV per atom

(17)
Entry from the Alexandria database: a geometry-optimized PuCuSb structure (GGA-PBE).

```
3
Lattice="4.0573 0.0000 0.0000 0.0000 4.0573 0.0000 -2.0287 -2.0287 4.3145" Properties=species:S:1:pos:R:3 pbc="T T T"
Sb 2.0287 2.0287 3.9838
Pu 2.0287 2.0287 0.9645
Cu 0.0000 0.0000 2.3862
```

Computed properties:
Formation energy without anion corrections   -0.039 eV per atom

(18)
Entry from the Alexandria database: a geometry-optimized PuCu3Sb2 structure (GGA-PBE).

```
12
Lattice="-1.3012 1.8058 3.9036 -3.8427 -5.9383 4.0528 3.5332 -4.4681 5.8307" Properties=species:S:1:pos:R:3 pbc="T T T"
Cu 1.0462 -6.3160 8.4431
Cu 0.6647 -1.6228 6.1449
Cu -2.2753 -6.9778 7.6422
Cu -0.3139 -3.1713 9.1213
Cu -2.6568 -2.2847 5.3440
Cu -1.2967 -5.4293 4.6658
Sb -3.0703 -4.7518 6.3476
Sb 1.4597 -3.8488 7.4395
Sb -0.3348 -2.9819 3.8541
Sb -1.2758 -5.6188 9.9329
Pu -1.1680 0.1714 4.7040
Pu -0.4426 -8.7721 9.0831
```

Computed properties:
Formation energy without anion corrections   -0.134 eV per atom

(19)
Entry from the Alexandria database: a geometry-optimized PuCu4Sb structure (GGA-PBE).

```
6
Lattice="5.2114 0.0000 0.0000 2.6057 4.5132 0.0000 2.6057 1.5044 4.2551" Properties=species:S:1:pos:R:3 pbc="T T T"
Cu 6.5095 3.7583 2.6575
Cu 5.2114 1.5099 2.6575
Cu 3.9134 3.7583 2.6575
Cu 5.2114 3.0088 0.5377
Sb 0.0000 0.0000 0.0000
Pu 2.6057 1.5044 1.0638
```

Computed properties:
Formation energy without anion corrections   -0.049 eV per atom

(20)
Entry from the Alexandria database: a geometry-optimized PuCuSb2 structure (GGA-PBE).

```
4
Lattice="-0.3411 -4.5240 1.0319 1.5592 -1.5771 4.0902 -4.1183 -1.2284 3.7426" Properties=species:S:1:pos:R:3 pbc="T T T"
Sb -2.4906 -5.4409 6.7904
Sb -0.4095 -1.8885 2.0743
Cu 0.0000 0.0000 0.0000
Pu -1.4501 -3.6647 4.4323
```

Computed properties:
Formation energy without anion corrections   -0.146 eV per atom